# 1
A plane-wave DFT calculation with GGA-PBE was carried out for a relaxed structure of CaLaCd2.

Output
Its energy relative to the elements is 0.025 eV per atom.

Cell: 8.5651 8.5651 7.2881 Å, 90.00 90.00 90.00°
Space group I-42d (No. 122)
One atom of each set of equivalent atoms:
Ca 0.0000 0.0000 0.0000 [4 per cell]
La 0.0000 0.0000 0.5000 [4 per cell]
Cd 0.2427 0.2500 0.1250 [8 per cell]

=====

# 2
A plane-wave DFT calculation with GGA-PBE was carried out for a relaxed structure of AlCdS2.

Output
The calculation puts the formation energy without anion corrections at -709 meV/atom.

Cell: 7.7913 7.8040 5.9865 Å, 90.00 90.00 90.00°
Space group Ibam (No. 72)
One atom of each set of equivalent atoms:
Al 0.0000 0.0000 0.2500 [4 per cell]
Cd 0.0000 0.5000 0.0000 [4 per cell]
S 0.1560 0.1557 0.0000 [8 per cell]

=====

# 3
A plane-wave DFT calculation with GGA-PBE was carried out for a relaxed structure of K2TcPb.

Output
Its energy relative to the elements is 0.650 eV per atom.

Cell: 8.2998 4.7871 8.7095 Å, 90.00 108.18 90.00°
Space group Cm (No. 8)
One atom of each set of equivalent atoms:
K 0.0000 0.0000 0.0000 [2 per cell]
K 0.1860 0.0000 0.5687 [2 per cell]
Tc 0.2598 0.5000 0.2853 [2 per cell]
Pb 0.4262 0.0000 0.2840 [2 per cell]

=====

# 4
A plane-wave DFT calculation with GGA-PBE was carried out for a relaxed structure of Sc2GaAu.

Output
Its energy relative to the elements is -0.111 eV per atom.

Cell: 4.3970 4.3970 18.6493 Å, 90.00 90.00 90.00°
Space group I-42d (No. 122)
One atom of each set of equivalent atoms:
Sc 0.2433 0.2500 0.1250 [8 per cell]
Ga 0.0000 0.0000 0.0000 [4 per cell]
Au 0.0000 0.0000 0.5000 [4 per cell]

=====

# 5
A plane-wave DFT calculation with GGA-PBE was carried out for a relaxed structure of Zn3CrAu.

Output
Its energy relative to the elements is 0.559 eV per atom.

Cell: 4.8690 4.8690 4.8690 Å, 90.00 90.00 90.00°
Space group Pm-3m (No. 221)
One atom of each set of equivalent atoms:
Zn 0.0000 0.0000 0.5000 [3 per cell]
Cr 0.5000 0.5000 0.5000 [1 per cell]
Au 0.0000 0.0000 0.0000 [1 per cell]

=====

# 6
A plane-wave DFT calculation with GGA-PBE was carried out for a relaxed structure of BaPrZnCd.

Output
Its energy relative to the elements is -0.175 eV per atom.

Cell: 7.9671 7.9671 7.9671 Å, 90.00 90.00 90.00°
Space group F-43m (No. 216)
One atom of each set of equivalent atoms:
Ba 0.0000 0.0000 0.0000 [4 per cell]
Pr 0.0000 0.0000 0.5000 [4 per cell]
Zn 0.2500 0.2500 0.2500 [4 per cell]
Cd 0.2500 0.2500 0.7500 [4 per cell]

=====

# 7
A plane-wave DFT calculation with GGA-PBE was carried out for a relaxed structure of InSbTe2Pd.

Output
The calculation puts the formation energy without anion corrections at 173 meV/atom.

Cell: 5.5751 5.5751 5.1373 Å, 90.00 90.00 90.00°
Space group P4/mmm (No. 123)
One atom of each set of equivalent atoms:
In 0.0000 0.0000 0.0000 [1 per cell]
Sb 0.5000 0.5000 0.0000 [1 per cell]
Te 0.0000 0.5000 0.5000 [2 per cell]
Pd 0.5000 0.5000 0.5000 [1 per cell]

=====

# 8
A plane-wave DFT calculation with GGA-PBE was carried out for a relaxed structure of La3AlAu.

Output
Its energy relative to the elements is 0.027 eV per atom.

Cell: 5.7525 5.7525 5.7525 Å, 90.00 90.00 90.00°
Space group Pm-3m (No. 221)
One atom of each set of equivalent atoms:
La 0.0000 0.0000 0.5000 [3 per cell]
Al 0.5000 0.5000 0.5000 [1 per cell]
Au 0.0000 0.0000 0.0000 [1 per cell]

=====

# 9
A plane-wave DFT calculation with GGA-PBE was carried out for a relaxed structure of La2TbSm5Dy.

Output
Its energy relative to the elements is 0.131 eV per atom.

Cell: 5.7190 20.2538 10.8070 Å, 90.00 90.00 90.00°
Space group Cmc2_1 (No. 36)
One atom of each set of equivalent atoms:
La 0.0000 0.1139 0.0000 [4 per cell]
La 0.0000 0.1172 0.5853 [4 per cell]
Tb 0.0000 0.2012 0.2767 [4 per cell]
Sm 0.0000 0.0159 0.2884 [4 per cell]
Sm 0.0000 0.2795 0.5768 [4 per cell]
Sm 0.0000 0.2979 0.9711 [4 per cell]
Sm 0.0000 0.3877 0.2888 [4 per cell]
Sm 0.0000 0.4809 0.0081 [4 per cell]
Dy 0.0000 0.4099 0.7278 [4 per cell]

=====

# 10
A plane-wave DFT calculation with GGA-PBE was carried out for a relaxed structure of Tb5Pr3Pd12.

Output
Its energy relative to the elements is -0.281 eV per atom.

Cell: 16.4029 16.4029 16.4029 Å, 90.00 90.00 90.00°
Space group Ia-3d (No. 230)
One atom of each set of equivalent atoms:
Tb 0.0000 0.0000 0.0000 [16 per cell]
Tb 0.0000 0.2500 0.3750 [24 per cell]
Pr 0.0000 0.2500 0.1250 [24 per cell]
Pd 0.0056 0.0760 0.6536 [96 per cell]

=====

# 11
A plane-wave DFT calculation with GGA-PBE was carried out for a relaxed structure of SmSnGe2Rh5.

Output
Its energy relative to the elements is -0.419 eV per atom.

Cell: 4.0957 4.0957 10.6826 Å, 90.00 90.00 90.00°
Space group P4/mmm (No. 123)
One atom of each set of equivalent atoms:
Sm 0.0000 0.0000 0.0000 [1 per cell]
Sn 0.0000 0.0000 0.5000 [1 per cell]
Ge 0.5000 0.5000 0.2224 [2 per cell]
Rh 0.0000 0.5000 0.3420 [4 per cell]
Rh 0.5000 0.5000 0.0000 [1 per cell]

=====

# 12
A plane-wave DFT calculation with GGA-PBE was carried out for a relaxed structure of ReI.

Output
The calculation puts the formation energy without anion corrections at 1225 meV/atom.

Cell: 7.7200 8.4666 12.3694 Å, 90.00 90.00 90.00°
Space group Fddd (No. 70, origin choice 2)
One atom of each set of equivalent atoms:
Re 0.1250 0.1250 0.0311 [16 per cell]
I 0.1250 0.3191 0.6250 [16 per cell]

=====

# 13
A plane-wave DFT calculation with GGA-PBE was carried out for a relaxed structure of TaMnS3.

Output
The calculation puts the formation energy without anion corrections at -683 meV/atom.

Cell: 12.3187 10.4530 5.9273 Å, 90.00 98.56 90.00°
Space group C2/c (No. 15)
One atom of each set of equivalent atoms:
Ta 0.2424 0.0744 0.3469 [8 per cell]
Mn 0.0000 0.2264 0.7500 [4 per cell]
Mn 0.0000 0.4021 0.2500 [4 per cell]
S 0.1197 0.4255 0.9306 [8 per cell]
S 0.1215 0.0771 0.9874 [8 per cell]
S 0.1269 0.2516 0.4689 [8 per cell]

=====

# 14
A plane-wave DFT calculation with GGA-PBE was carried out for a relaxed structure of MnSiPtRh.

Output
The calculation puts the formation energy without anion corrections at -445 meV/atom.

Cell: 6.0734 6.0734 6.0734 Å, 90.00 90.00 90.00°
Space group F-43m (No. 216)
One atom of each set of equivalent atoms:
Mn 0.0000 0.0000 0.0000 [4 per cell]
Si 0.0000 0.0000 0.5000 [4 per cell]
Pt 0.2500 0.2500 0.7500 [4 per cell]
Rh 0.2500 0.2500 0.2500 [4 per cell]

=====

# 15
A plane-wave DFT calculation with GGA-PBE was carried out for a relaxed structure of Ce2SmSn.

Output
Its energy relative to the elements is -0.398 eV per atom.

Cell: 4.6952 4.6952 5.0718 Å, 90.00 90.00 90.00°
Space group P4/mmm (No. 123)
One atom of each set of equivalent atoms:
Ce 0.0000 0.5000 0.0000 [2 per cell]
Sm 0.0000 0.0000 0.5000 [1 per cell]
Sn 0.5000 0.5000 0.5000 [1 per cell]

=====

# 16
A plane-wave DFT calculation with GGA-PBE was carried out for a relaxed structure of Pm4Nd2Sm2Mg.

Output
Its energy relative to the elements is 0.024 eV per atom.

Cell: 6.2847 6.2853 9.0146 Å, 76.69 83.49 60.08°
Space group P-1 (No. 2)
One atom of each set of equivalent atoms:
Pm 0.9997 0.2157 0.3335 [2 per cell]
Pm 0.3260 0.5617 0.3315 [2 per cell]
Nd 0.3361 0.3320 0.0000 [2 per cell]
Sm 0.3279 0.1108 0.6686 [2 per cell]
Mg 0.0000 0.0000 0.0000 [1 per cell]

=====

# 17
A plane-wave DFT calculation with GGA-PBE was carried out for a relaxed structure of CrW.

Output
Its energy relative to the elements is 2.616 eV per atom.

Cell: 6.7522 6.7522 6.7522 Å, 90.00 90.00 90.00°
Space group Pm-3n (No. 223)
One atom of each set of equivalent atoms:
Cr 0.0000 0.2500 0.5000 [6 per cell]
W 0.0000 0.5000 0.2500 [6 per cell]

=====

# 18
A plane-wave DFT calculation with GGA-PBE was carried out for a relaxed structure of NaSbO2F.

Output
The calculation puts the formation energy without anion corrections at -571 meV/atom.

Cell: 4.1079 4.1079 3.8846 Å, 90.00 90.00 90.00°
Space group P4/mmm (No. 123)
One atom of each set of equivalent atoms:
Na 0.0000 0.0000 0.0000 [1 per cell]
Sb 0.5000 0.5000 0.5000 [1 per cell]
O 0.0000 0.5000 0.0000 [2 per cell]
F 0.0000 0.0000 0.5000 [1 per cell]

=====

# 19
A plane-wave DFT calculation with GGA-PBE was carried out for a relaxed structure of MgTaOs2.

Output
Its energy relative to the elements is -0.166 eV per atom.

Cell: 3.1722 3.1722 6.2602 Å, 90.00 90.00 90.00°
Space group P4/mmm (No. 123)
One atom of each set of equivalent atoms:
Mg 0.0000 0.0000 0.0000 [1 per cell]
Ta 0.0000 0.0000 0.5000 [1 per cell]
Os 0.5000 0.5000 0.2564 [2 per cell]

=====

# 20
A plane-wave DFT calculation with GGA-PBE was carried out for a relaxed structure of Te2Cl.

Output
The calculation puts the formation energy without anion corrections at -1 meV/atom.

Cell: 3.0910 7.9680 8.2936 Å, 90.00 90.00 90.00°
Space group Immm (No. 71)
One atom of each set of equivalent atoms:
Te 0.0000 0.0000 0.1699 [4 per cell]
Cl 0.0000 0.0000 0.5000 [2 per cell]